A) A relaxed structure of TlGaRe2. Source: Alexandria via LeMat-Bulk, functional PBE-GGA.

The density of states at the Fermi level comes out at 5.897 states/eV/f.u. As for the space group: Fm-3m (225).

a = 4.5401 Å, b = 4.5401 Å, c = 4.5401 Å
α = 60.00°, β = 60.00°, γ = 60.00°
Fractional coordinates of all 4 atoms:
Tl  0.5000  0.5000  0.5000
Re  0.7500  0.7500  0.7500
Re  0.2500  0.2500  0.2500
Ga  0.0000  0.0000  0.0000

***

B) A relaxed structure of TlGaRe2. Source: Alexandria via LeMat-Bulk, functional PBE-GGA.

The density of states at the Fermi level comes out at 2.001 states/eV/f.u. As for the space group: I-42d (122).

a = 4.0564 Å, b = 4.0564 Å, c = 9.9266 Å
α = 78.21°, β = 78.21°, γ = 90.00°
Fractional coordinates of all 8 atoms:
Tl  0.0000  0.0000  0.0000
Tl  0.7500  0.2500  0.5000
Re  0.5409  0.1250  0.2500
Re  0.8750  0.7909  0.7500
Re  0.3750  0.4591  0.7500
Re  0.2091  0.6250  0.2500
Ga  0.5000  0.5000  0.0000
Ga  0.2500  0.7500  0.5000

***

The structure with the least stability is A).

***

A) A relaxed structure of U2GaRe. Source: Alexandria via LeMat-Bulk, functional PBE-GGA.

The density of states at the Fermi level comes out at 6.733 states/eV/f.u. As for the space group: R-3m (166).

a = 2.9427 Å, b = 2.9427 Å, c = 10.1565 Å
α = 81.67°, β = 81.67°, γ = 60.00°
Fractional coordinates of all 4 atoms:
U  0.7545  0.7545  0.7366
U  0.2455  0.2455  0.2634
Re  0.5000  0.5000  0.5000
Ga  0.0000  0.0000  0.0000

***

B) A relaxed structure of U2GaRe. Source: Alexandria via LeMat-Bulk, functional PBE-GGA.

The density of states at the Fermi level comes out at 7.646 states/eV/f.u. As for the space group: C2/m (12).

a = 2.7785 Å, b = 5.3044 Å, c = 5.3679 Å
α = 91.88°, β = 90.00°, γ = 105.18°
Each line ends with the local moment (μB).
Fractional coordinates of all 4 atoms:
Re  0.0000  0.0000  0.0000  -0.10
U  0.7422  0.4843  0.7588  1.24
U  0.2578  0.5157  0.2412  1.24
Ga  0.0000  0.0000  0.5000  -0.01

***

C) A relaxed structure of U2GaRe. Source: Alexandria via LeMat-Bulk, functional PBE-GGA.

The density of states at the Fermi level comes out at 7.324 states/eV/f.u. As for the space group: P4/mmm (123).

a = 3.0416 Å, b = 3.0416 Å, c = 8.4409 Å
α = 90.00°, β = 90.00°, γ = 90.00°
Each line ends with the local moment (μB).
Fractional coordinates of all 4 atoms:
U  0.0000  0.0000  0.2309  0.85
U  0.0000  0.0000  0.7691  0.85
Ga  0.5000  0.5000  0.5000  -0.03
Re  0.5000  0.5000  0.0000  -0.14

***

D) A relaxed structure of U2GaRe. Source: Alexandria via LeMat-Bulk, functional PBE-GGA.

The density of states at the Fermi level comes out at 6.989 states/eV/f.u. As for the space group: P4/mmm (123).

a = 4.3228 Å, b = 4.1173 Å, c = 4.1173 Å
α = 90.00°, β = 90.00°, γ = 90.00°
Fractional coordinates of all 4 atoms:
Ga  0.5000  0.5000  0.5000
U  0.0000  0.0000  0.5000
U  0.0000  0.5000  0.0000
Re  0.5000  0.0000  0.0000

***

The structure with the least stability is B).

***

A) A relaxed structure of VGa2Re. Source: Alexandria via LeMat-Bulk, functional PBE-GGA.

The density of states at the Fermi level comes out at 3.310 states/eV/f.u. As for the space group: Fm-3m (225).

a = 4.3420 Å, b = 4.3420 Å, c = 4.3420 Å
α = 60.00°, β = 60.00°, γ = 60.00°
Each line ends with the local moment (μB).
Fractional coordinates of all 4 atoms:
Ga  0.7500  0.7500  0.7500  0.01
Ga  0.2500  0.2500  0.2500  0.01
V  0.0000  0.0000  0.0000  1.34
Re  0.5000  0.5000  0.5000  -0.40

***

B) A relaxed structure of VGa2Re. Source: Alexandria via LeMat-Bulk, functional PBE-GGA.

The density of states at the Fermi level comes out at 3.217 states/eV/f.u. As for the space group: I-42d (122).

a = 3.6775 Å, b = 3.6775 Å, c = 9.6961 Å
α = 79.07°, β = 79.07°, γ = 90.00°
Fractional coordinates of all 8 atoms:
V  0.5000  0.5000  0.0000
V  0.2500  0.7500  0.5000
Ga  0.3750  0.3771  0.7500
Ga  0.8750  0.8729  0.7500
Ga  0.1271  0.6250  0.2500
Ga  0.6229  0.1250  0.2500
Re  0.0000  0.0000  0.0000
Re  0.7500  0.2500  0.5000

***

C) A relaxed structure of VGa2Re. Source: Alexandria via LeMat-Bulk, functional PBE-GGA.

The density of states at the Fermi level comes out at 5.318 states/eV/f.u. As for the space group: R-3m (166).

a = 2.7819 Å, b = 2.7819 Å, c = 9.6624 Å
α = 81.72°, β = 81.72°, γ = 60.00°
Each line ends with the local moment (μB).
Fractional coordinates of all 4 atoms:
V  0.0000  0.0000  0.0000  0.38
Re  0.5000  0.5000  0.5000  0.07
Ga  0.0893  0.0893  0.7320  0.01
Ga  0.9107  0.9107  0.2680  0.01

***

The structure with the least stability is C).

***

A) A relaxed structure of GaRe2W2. Source: Alexandria via LeMat-Bulk, functional PBE-GGA.

The density of states at the Fermi level comes out at 2.625 states/eV/f.u. As for the space group: P4/mbm (127).

a = 7.7293 Å, b = 7.7293 Å, c = 2.8718 Å
α = 90.00°, β = 90.00°, γ = 90.00°
Fractional coordinates of all 10 atoms:
W  0.6459  0.1459  0.0000
W  0.3541  0.8541  0.0000
W  0.8541  0.6459  0.0000
W  0.1459  0.3541  0.0000
Re  0.1456  0.6456  0.5000
Re  0.6456  0.8544  0.5000
Re  0.8544  0.3544  0.5000
Re  0.3544  0.1456  0.5000
Ga  0.0000  0.0000  0.0000
Ga  0.5000  0.5000  0.0000

***

B) A relaxed structure of GaRe2W2. Source: Alexandria via LeMat-Bulk, functional PBE-GGA.

The density of states at the Fermi level comes out at 3.018 states/eV/f.u. As for the space group: I4/mmm (139).

a = 4.0373 Å, b = 4.0373 Å, c = 6.5143 Å
α = 71.95°, β = 71.95°, γ = 90.00°
Fractional coordinates of all 5 atoms:
Ga  0.0000  0.0000  0.0000
Re  0.7500  0.2500  0.5000
Re  0.2500  0.7500  0.5000
W  0.3828  0.3828  0.2344
W  0.6172  0.6172  0.7656

***

The structure with the least stability is B).

***

A) A relaxed structure of YGa2Re. Source: Alexandria via LeMat-Bulk, functional PBE-GGA.

The density of states at the Fermi level comes out at 4.073 states/eV/f.u. As for the space group: Fm-3m (225).

a = 4.6399 Å, b = 4.6399 Å, c = 4.6399 Å
α = 60.00°, β = 60.00°, γ = 60.00°
Fractional coordinates of all 4 atoms:
Ga  0.7500  0.7500  0.7500
Ga  0.2500  0.2500  0.2500
Y  0.0000  0.0000  0.0000
Re  0.5000  0.5000  0.5000

***

B) A relaxed structure of YGa2Re. Source: Alexandria via LeMat-Bulk, functional PBE-GGA.

The density of states at the Fermi level comes out at 3.233 states/eV/f.u. As for the space group: I-42d (122).

a = 4.4635 Å, b = 4.4635 Å, c = 9.4732 Å
α = 76.37°, β = 76.37°, γ = 90.00°
Fractional coordinates of all 8 atoms:
Y  0.5000  0.5000  0.0000
Y  0.2500  0.7500  0.5000
Ga  0.3750  0.2363  0.7500
Ga  0.9863  0.6250  0.2500
Ga  0.8750  0.0137  0.7500
Ga  0.7637  0.1250  0.2500
Re  0.7500  0.2500  0.5000
Re  0.0000  0.0000  0.0000

***

The structure with the least stability is B).

***

A) A relaxed structure of YGa3Re. Source: Alexandria via LeMat-Bulk, functional PBE-GGA.

The density of states at the Fermi level comes out at 15.432 states/eV/f.u. As for the space group: Pm-3m (221).

a = 5.1362 Å, b = 5.1362 Å, c = 5.1362 Å
α = 90.00°, β = 90.00°, γ = 90.00°
Fractional coordinates of all 5 atoms:
Ga  0.0000  0.0000  0.5000
Ga  0.5000  0.0000  0.0000
Ga  0.0000  0.5000  0.0000
Re  0.5000  0.5000  0.5000
Y  0.0000  0.0000  0.0000

***

B) A relaxed structure of YGa3Re. Source: Alexandria via LeMat-Bulk, functional PBE-GGA.

The density of states at the Fermi level comes out at 1.994 states/eV/f.u. As for the space group: Pm-3m (221).

a = 4.7912 Å, b = 4.7912 Å, c = 4.7912 Å
α = 90.00°, β = 90.00°, γ = 90.00°
Fractional coordinates of all 5 atoms:
Ga  0.5000  0.0000  0.0000
Ga  0.0000  0.5000  0.0000
Ga  0.0000  0.0000  0.5000
Re  0.0000  0.0000  0.0000
Y  0.5000  0.5000  0.5000

***

The structure with the least stability is A).